The following is a DFT calculation (GGA-PBE) of a relaxed Co3AsS crystal.

a b c (Å): 4.1332 4.1332 4.1332
angles (deg): 90.00 90.00 90.00
Fractional positions:
Co  0.0000  0.5000  0.0000
S  0.0000  0.0000  0.0000
Co  0.0000  0.0000  0.5000
Co  0.5000  0.0000  0.0000
As  0.5000  0.5000  0.5000

Results
* magnetization: 2.01 Bohr magnetons per cell
* space group: No. 221
* ΔE_f (raw): 0.32 eV/atom
* calculated density: 6.67 g cm⁻³